(1)
First-principles (GGA-PBE) data for crystalline Pr8GaCo3Cl4 at its relaxed geometry, as listed in Alexandria via LeMat-Bulk.

CIF file:
```
data_Pr8GaCo3Cl4
_symmetry_space_group_name_H-M 'R -3 m'
_symmetry_Int_Tables_number 166
_symmetry_space_group_name_Hall '-R 3 2"'
_cell_length_a 8.1799
_cell_length_b 8.1799
_cell_length_c 22.5517
_cell_angle_alpha 90.00
_cell_angle_beta 90.00
_cell_angle_gamma 120.00
loop_
_atom_site_label
_atom_site_fract_x
_atom_site_fract_y
_atom_site_fract_z
_atom_site_occupancy
Pr1 0.0000 0.0000 0.2356 1
Pr2 0.0177 0.5089 0.7643 1
Ga1 0.0000 0.0000 0.5000 1
Co1 0.0000 0.5000 0.5000 1
Cl1 0.0000 0.0000 0.0000 1
Cl2 0.0000 0.5000 0.0000 1
```

For the spin magnetization, the calculation gives 0.00 Bohr magnetons per cell. The density of states at the Fermi level is 42.06 states/eV per cell. For the raw formation energy, the calculation gives -0.82 eV/atom.


(2)
First-principles (GGA-PBE) data for crystalline Tl2As2Pd at its relaxed geometry, as listed in Alexandria via LeMat-Bulk.

CIF file:
```
data_Tl2As2Pd
_symmetry_space_group_name_H-M 'P 4/m b m'
_symmetry_Int_Tables_number 127
_symmetry_space_group_name_Hall '-P 4 2ab'
_cell_length_a 6.427
_cell_length_b 6.427
_cell_length_c 5.865
_cell_angle_alpha 90.00
_cell_angle_beta 90.00
_cell_angle_gamma 90.00
loop_
_atom_site_label
_atom_site_fract_x
_atom_site_fract_y
_atom_site_fract_z
_atom_site_occupancy
Tl1 0.184 0.316 0.000 1
As1 0.135 0.635 0.500 1
Pd1 0.000 0.000 0.500 1
```

For the spin magnetization, the calculation gives 0.00 Bohr magnetons per cell. The density of states at the Fermi level is 2.32 states/eV per cell. The value obtained for the formation energy is -0.113 eV per atom.


(3)
First-principles (GGA-PBE) data for crystalline KLa4Se5 at its relaxed geometry, as listed in Alexandria via LeMat-Bulk.

CIF file:
```
data_KLa4Se5
_symmetry_space_group_name_H-M 'C 1 2/m 1'
_symmetry_Int_Tables_number 12
_cell_length_a 14.591
_cell_length_b 4.331
_cell_length_c 10.773
_cell_angle_alpha 90.00
_cell_angle_beta 119.93
_cell_angle_gamma 90.00
loop_
_symmetry_equiv_pos_as_xyz
'x,y,z'
'-x,-y,-z'
'-x,y,-z'
'x,-y,z'
'x+1/2,y+1/2,z'
'-x+1/2,-y+1/2,-z'
'-x+1/2,y+1/2,-z'
'x+1/2,-y+1/2,z'
loop_
_atom_site_label
_atom_site_fract_x
_atom_site_fract_y
_atom_site_fract_z
_atom_site_occupancy
K1 0.000 0.000 0.000 1
La1 0.095 0.500 0.401 1
La2 0.200 0.000 0.792 1
Se1 0.000 0.000 0.500 1
Se2 0.111 0.500 0.896 1
Se3 0.201 0.000 0.309 1
```

For the spin magnetization, the calculation gives 0.00 Bohr magnetons per cell. The density of states at the Fermi level is 9.11 states/eV per cell. For the raw formation energy, the calculation gives -1.91 eV/atom.


(4)
First-principles (GGA-PBE) data for crystalline Ac2Sm6Tm5 at its relaxed geometry, as listed in Alexandria via LeMat-Bulk.

CIF file:
```
data_Ac2Sm6Tm5
_symmetry_space_group_name_H-M 'P b a m'
_symmetry_Int_Tables_number 55
_cell_length_a 11.983
_cell_length_b 20.392
_cell_length_c 3.674
_cell_angle_alpha 90.00
_cell_angle_beta 90.00
_cell_angle_gamma 90.00
loop_
_symmetry_equiv_pos_as_xyz
'x,y,z'
'-x,-y,-z'
'-x,-y,z'
'x,y,-z'
'x+1/2,-y+1/2,-z'
'-x+1/2,y+1/2,z'
'-x+1/2,y+1/2,-z'
'x+1/2,-y+1/2,z'
loop_
_atom_site_label
_atom_site_fract_x
_atom_site_fract_y
_atom_site_fract_z
_atom_site_occupancy
Ac1 0.160 0.220 0.000 1
Sm1 0.058 0.924 0.000 1
Sm2 0.077 0.637 0.000 1
Sm3 0.180 0.381 0.500 1
Tm1 0.000 0.500 0.500 1
Tm2 0.101 0.781 0.500 1
Tm3 0.201 0.053 0.500 1
```

For the spin magnetization, the calculation gives 0.00 Bohr magnetons per cell. The density of states at the Fermi level is 32.63 states/eV per cell. The value obtained for the formation energy is 0.118 eV per atom.


(5)
First-principles (GGA-PBE) data for crystalline Zn2CrCo at its relaxed geometry, as listed in Alexandria via LeMat-Bulk.

CIF file:
```
data_Zn2CrCo
_symmetry_space_group_name_H-M 'I -4 2 d'
_symmetry_Int_Tables_number 122
_symmetry_space_group_name_Hall 'I -4 2bw'
_cell_length_a 6.690
_cell_length_b 6.690
_cell_length_c 4.842
_cell_angle_alpha 90.00
_cell_angle_beta 90.00
_cell_angle_gamma 90.00
loop_
_atom_site_label
_atom_site_fract_x
_atom_site_fract_y
_atom_site_fract_z
_atom_site_occupancy
Zn1 0.236 0.250 0.125 1
Cr1 0.000 0.000 0.500 1
Co1 0.000 0.000 0.000 1
```

For the spin magnetization, the calculation gives 0.00 Bohr magnetons per cell. The density of states at the Fermi level is 19.06 states/eV per cell. The value obtained for the formation energy is 0.645 eV per atom.


(6)
First-principles (GGA-PBE) data for crystalline Ta2AsOs at its relaxed geometry, as listed in Alexandria via LeMat-Bulk.

CIF file:
```
data_Ta2AsOs
_symmetry_space_group_name_H-M 'C 1 2/m 1'
_symmetry_Int_Tables_number 12
_cell_length_a 5.829
_cell_length_b 7.339
_cell_length_c 3.134
_cell_angle_alpha 90.00
_cell_angle_beta 98.14
_cell_angle_gamma 90.00
loop_
_symmetry_equiv_pos_as_xyz
'x,y,z'
'-x,-y,-z'
'-x,y,-z'
'x,-y,z'
'x+1/2,y+1/2,z'
'-x+1/2,-y+1/2,-z'
'-x+1/2,y+1/2,-z'
'x+1/2,-y+1/2,z'
loop_
_atom_site_label
_atom_site_fract_x
_atom_site_fract_y
_atom_site_fract_z
_atom_site_occupancy
Ta1 0.250 0.250 0.000 1
As1 0.000 0.000 0.500 1
Os1 0.000 0.500 0.500 1
```

For the spin magnetization, the calculation gives 0.00 Bohr magnetons per cell. The density of states at the Fermi level is 4.85 states/eV per cell. The value obtained for the formation energy is -0.102 eV per atom.


(7)
First-principles (GGA-PBE) data for crystalline Ca2Ac3TaN6 at its relaxed geometry, as listed in Alexandria via LeMat-Bulk.

CIF file:
```
data_Ca2Ac3TaN6
_symmetry_space_group_name_H-M 'C 1 2/m 1'
_symmetry_Int_Tables_number 12
_cell_length_a 6.297
_cell_length_b 10.936
_cell_length_c 6.210
_cell_angle_alpha 90.00
_cell_angle_beta 108.77
_cell_angle_gamma 90.00
loop_
_symmetry_equiv_pos_as_xyz
'x,y,z'
'-x,-y,-z'
'-x,y,-z'
'x,-y,z'
'x+1/2,y+1/2,z'
'-x+1/2,-y+1/2,-z'
'-x+1/2,y+1/2,-z'
'x+1/2,-y+1/2,z'
loop_
_atom_site_label
_atom_site_fract_x
_atom_site_fract_y
_atom_site_fract_z
_atom_site_occupancy
Ca1 0.000 0.167 0.000 1
Ac1 0.000 0.000 0.500 1
Ac2 0.000 0.333 0.500 1
Ta1 0.000 0.500 0.000 1
N1 0.212 0.359 0.213 1
N2 0.218 0.500 0.765 1
```

For the spin magnetization, the calculation gives 0.00 Bohr magnetons per cell. The density of states at the Fermi level is 0.46 states/eV per cell. For the raw formation energy, the calculation gives -1.02 eV/atom.


(8)
First-principles (GGA-PBE) data for crystalline RbCoRh2 at its relaxed geometry, as listed in Alexandria via LeMat-Bulk.

CIF file:
```
data_RbCoRh2
_symmetry_space_group_name_H-M 'F m -3 m'
_symmetry_Int_Tables_number 225
_symmetry_space_group_name_Hall '-F 4 2 3'
_cell_length_a 6.548
_cell_length_b 6.548
_cell_length_c 6.548
_cell_angle_alpha 90.00
_cell_angle_beta 90.00
_cell_angle_gamma 90.00
loop_
_atom_site_label
_atom_site_fract_x
_atom_site_fract_y
_atom_site_fract_z
_atom_site_occupancy
Rb1 0.000 0.000 0.000 1
Co1 0.000 0.000 0.500 1
Rh1 0.250 0.250 0.250 1
```

For the spin magnetization, the calculation gives 14.88 Bohr magnetons per cell. The density of states at the Fermi level is 26.00 states/eV per cell. The value obtained for the formation energy is 1.193 eV per atom.


(9)
First-principles (GGA-PBE) data for crystalline PtC2 at its relaxed geometry, as listed in Alexandria via LeMat-Bulk.

CIF file:
```
data_PtC2
_symmetry_space_group_name_H-M 'C 1 2/m 1'
_symmetry_Int_Tables_number 12
_cell_length_a 5.110
_cell_length_b 4.522
_cell_length_c 2.617
_cell_angle_alpha 90.00
_cell_angle_beta 104.09
_cell_angle_gamma 90.00
loop_
_symmetry_equiv_pos_as_xyz
'x,y,z'
'-x,-y,-z'
'-x,y,-z'
'x,-y,z'
'x+1/2,y+1/2,z'
'-x+1/2,-y+1/2,-z'
'-x+1/2,y+1/2,-z'
'x+1/2,-y+1/2,z'
loop_
_atom_site_label
_atom_site_fract_x
_atom_site_fract_y
_atom_site_fract_z
_atom_site_occupancy
Pt1 0.000 0.000 0.000 1
C1 0.071 0.500 0.786 1
```

For the spin magnetization, the calculation gives 0.00 Bohr magnetons per cell. The density of states at the Fermi level is 1.01 states/eV per cell. The value obtained for the formation energy is 0.808 eV per atom.


(10)
First-principles (GGA-PBE) data for crystalline LaEr3Cd2 at its relaxed geometry, as listed in Alexandria via LeMat-Bulk.

CIF file:
```
data_LaEr3Cd2
_symmetry_space_group_name_H-M 'P 4/m m m'
_symmetry_Int_Tables_number 123
_symmetry_space_group_name_Hall '-P 4 2'
_cell_length_a 3.684
_cell_length_b 3.684
_cell_length_c 12.599
_cell_angle_alpha 90.00
_cell_angle_beta 90.00
_cell_angle_gamma 90.00
loop_
_atom_site_label
_atom_site_fract_x
_atom_site_fract_y
_atom_site_fract_z
_atom_site_occupancy
La1 0.000 0.000 0.000 1
Er1 0.500 0.500 0.202 1
Er2 0.500 0.500 0.500 1
Cd1 0.000 0.000 0.351 1
```

For the spin magnetization, the calculation gives 0.00 Bohr magnetons per cell. The density of states at the Fermi level is 7.79 states/eV per cell. The value obtained for the formation energy is -0.197 eV per atom.


(11)
First-principles (GGA-PBE) data for crystalline CsK2PuCl5 at its relaxed geometry, as listed in Alexandria via LeMat-Bulk.

CIF file:
```
data_CsK2PuCl5
_symmetry_space_group_name_H-M 'I m m m'
_symmetry_Int_Tables_number 71
_symmetry_space_group_name_Hall '-I 2 2'
_cell_length_a 5.442
_cell_length_b 7.803
_cell_length_c 15.391
_cell_angle_alpha 90.00
_cell_angle_beta 90.00
_cell_angle_gamma 90.00
loop_
_atom_site_label
_atom_site_fract_x
_atom_site_fract_y
_atom_site_fract_z
_atom_site_occupancy
Cs1 0.000 0.000 0.000 1
K1 0.000 0.500 0.209 1
Pu1 0.000 0.000 0.500 1
Cl1 0.000 0.246 0.364 1
Cl2 0.000 0.500 0.000 1
```

For the spin magnetization, the calculation gives 11.97 Bohr magnetons per cell. The density of states at the Fermi level is 28.58 states/eV per cell. For the raw formation energy, the calculation gives -1.86 eV/atom.


(12)
First-principles (GGA-PBE) data for crystalline RbIn2BiPb at its relaxed geometry, as listed in Alexandria via LeMat-Bulk.

CIF file:
```
data_RbIn2BiPb
_symmetry_space_group_name_H-M 'P 4/m m m'
_symmetry_Int_Tables_number 123
_symmetry_space_group_name_Hall '-P 4 2'
_cell_length_a 6.055
_cell_length_b 6.055
_cell_length_c 6.330
_cell_angle_alpha 90.00
_cell_angle_beta 90.00
_cell_angle_gamma 90.00
loop_
_atom_site_label
_atom_site_fract_x
_atom_site_fract_y
_atom_site_fract_z
_atom_site_occupancy
Rb1 0.000 0.000 0.000 1
In1 0.000 0.500 0.000 1
Bi1 0.000 0.000 0.500 1
Pb1 0.500 0.500 0.500 1
```

For the spin magnetization, the calculation gives 0.00 Bohr magnetons per cell. The density of states at the Fermi level is 2.83 states/eV per cell. The value obtained for the formation energy is 0.893 eV per atom.


- Among the records above, which one has the highest spin magnetization?
  RbCoRh2


- Which of these has the highest spin magnetization?
  RbCoRh2